First-principles (PBE) data for an optimized crystal structure of NdY2Fe, as listed in Alexandria.

Properties
- E_form: 0.097 eV per atom
- Energy above the most stable polymorph in this dataset: 0 kJ/mol of formula units
- Total magnetization: 0.00 μB/cell

POSCAR file:
```
NdY2Fe
1.0
-2.040 2.140 -1.661
-2.617 -2.093 0.518
-1.890 4.311 7.872
Y Nd Fe
2 1 1
Direct
0.000 0.000 0.824
0.000 0.000 0.176
0.500 0.500 0.500
0.500 0.500 0.000
```

First-principles (PBE) data for an optimized crystal structure of NdYFe, as listed in Alexandria.

Properties
- E_form: 0.089 eV per atom
- Energy above the most stable polymorph in this dataset: 0 kJ/mol of formula units
- Total magnetization: 3.36 μB/cell

POSCAR file:
```
NdYFe
1.0
-3.116 4.388 4.555
2.241 -6.309 2.154
6.585 2.918 1.694
Fe Y Nd
4 4 4
Direct
0.590 0.180 0.541
0.910 0.820 0.041
0.410 0.820 0.459
0.090 0.180 0.959
0.291 0.082 0.250
0.209 0.918 0.750
0.709 0.918 0.750
0.791 0.082 0.250
0.801 0.603 0.386
0.699 0.397 0.886
0.199 0.397 0.614
0.301 0.603 0.114
```

First-principles (PBE) data for an optimized crystal structure of NdY2Fe9, as listed in Alexandria.

Properties
- E_form: -0.024 eV per atom
- Total magnetization: 17.28 μB/cell

POSCAR file:
```
NdY2Fe9
1.0
4.934 0.000 1.468
2.248 4.391 1.468
0.116 0.071 8.633
Nd Y Fe
1 2 9
Direct
0.000 0.000 0.000
0.858 0.858 0.427
0.142 0.142 0.573
0.667 0.667 0.998
0.333 0.333 0.002
0.500 0.500 0.500
0.419 0.419 0.246
0.917 0.419 0.246
0.419 0.917 0.246
0.581 0.581 0.754
0.581 0.083 0.754
0.083 0.581 0.754
```

First-principles (PBE) data for an optimized crystal structure of NdY3Fe, as listed in Alexandria.

Properties
- E_form: 0.106 eV per atom
- Total magnetization: 0.00 μB/cell

POSCAR file:
```
NdY3Fe
1.0
5.321 0.000 0.000
0.000 5.321 0.000
0.000 0.000 5.321
Y Nd Fe
3 1 1
Direct
0.000 0.500 0.000
0.000 0.000 0.500
0.500 0.000 0.000
0.500 0.500 0.500
0.000 0.000 0.000
```

Which value of total magnetization does entry 2 give? 3.36 μB/cell